Computed, not measured: a geometry-optimized VAg2O3 structure at the PBE+U level of DFT.

abc: 3.6415 15.3671 2.8918
angles: 90.00 90.00 90.00
With the nearest neighbours (Å) after each atom.
Space group Cmmm (No. 65)
One atom of each set of equivalent atoms:
V 0.0000 0.0000 0.0000  6 O 1.82-1.95
Ag 0.0000 0.3173 0.5000  2 O 2.36
O 0.0000 0.0851 0.5000  2 V 1.95
O 0.0000 0.5000 0.0000  2 V 1.82

Results
- Energy relative to the lowest polymorph listed for this composition: 0.056 eV/atom
- DOS(E_F): 0.189 states/eV per atom
- Uncorrected energy: -0.41420 Ry per atom
- Spin magnetization: 0.00 μB/cell